Entry 1:
Here is KIrF2 after structural relaxation from the Alexandria database. Energies are from PBE.

Results
**Energy above the most stable polymorph in this dataset**: 714 meV/atom

```
4
Lattice="2.248 0.000 5.869 -1.124 1.947 5.869 -1.124 -1.947 5.869" Properties=species:S:1:pos:R:3 pbc="T T T"
K 0.000 0.000 0.000
Ir 0.000 0.000 8.804
F 0.000 0.000 15.157
F 0.000 0.000 2.451
```


Entry 2:
Here is K2IrF after structural relaxation from the Alexandria database. Energies are from PBE.

Results
**Energy above the most stable polymorph in this dataset**: 193 meV/atom

```
4
Lattice="0.000 3.880 3.880 3.880 0.000 3.880 3.880 3.880 0.000" Properties=species:S:1:pos:R:3 pbc="T T T"
K 1.940 1.940 1.940
K 5.820 5.820 5.820
Ir 3.880 3.880 3.880
F 0.000 0.000 0.000
```


Entry 3:
Here is KLiIrF6 after structural relaxation from the Alexandria database. Energies are from PBE.

```
18
Lattice="-1.174 -0.068 -7.013 5.143 -5.402 -0.808 -5.796 -0.995 4.585" Properties=species:S:1:pos:R:3 pbc="T T T"
K -2.740 -4.750 -3.100
K 0.914 -1.715 -0.136
Li -3.485 -0.532 -1.214
Li -2.898 -0.497 2.293
Ir 1.985 -2.735 -3.911
Ir -0.587 -0.034 -3.506
F -1.981 -4.548 0.376
F -4.253 -1.013 -2.883
F -1.935 -0.722 -4.726
F 1.517 -3.823 -2.369
F -1.462 -0.695 -1.901
F 1.044 -3.851 -5.195
F 0.155 -1.917 -3.612
F 2.426 -5.452 -0.353
F 0.108 -5.742 1.490
F -3.344 -2.642 -0.867
F -0.365 -5.770 -1.335
F -2.870 -2.614 1.959
```


Entry 4:
Here is K2LiIrF6 after structural relaxation from the Alexandria database. Energies are from PBE.

```
10
Lattice="-2.008 3.209 -4.415 -5.620 -0.271 -1.471 -3.502 4.523 1.050" Properties=species:S:1:pos:R:3 pbc="T T T"
K -2.783 1.865 -1.209
K -8.348 5.596 -3.626
Li -5.565 3.731 -2.418
Ir 0.000 0.000 0.000
F -4.525 4.130 -0.669
F -7.359 3.994 -1.411
F -6.606 3.331 -4.166
F -5.593 1.713 -1.940
F -5.538 5.748 -2.895
F -3.772 3.468 -3.425
```


no.,final energy (eV per atom),E_form (uncorrected) (eV per atom)
1,-3.9913,-0.566
2,-3.2903,-0.059
3,-4.6344,-2.068
4,-4.7390,-2.319